VASP calculation (PBE) on a geometry-optimized Tc2PtRh structure.

abc: 4.824 4.824 2.699
angles: 89.99 89.99 111.64
Sites, in units of the cell vectors:
Tc 0.500 0.500 0.000
Tc 0.000 0.000 0.000
Pt 0.500 0.000 0.500
Rh 0.000 0.500 0.500

Values from the calculation:
Fermi-level density of states	4.183	states/eV/f.u.
energy of formation from the pure elements	-0.35	eV per formula unit
total magnetic moment	0.00	μB/f.u.
SG	No. 65
ρ	14048	kg/m3
volume	58.4	Å³/f.u.

VASP calculation (PBE) on a geometry-optimized Tc2Pt3Rh structure.

abc: 5.105 5.105 9.013
angles: 114.41 114.41 62.66
Sites, in units of the cell vectors:
Pt 0.184 0.184 0.834
Pt 0.845 0.845 0.690
Pt 0.350 0.350 0.166
Pt 0.816 0.816 0.166
Pt 0.650 0.650 0.834
Pt 0.155 0.155 0.310
Rh 0.316 0.316 0.633
Rh 0.684 0.684 0.367
Tc 0.759 0.241 0.000
Tc 0.241 0.759 0.000
Tc 0.750 0.250 0.500
Tc 0.250 0.750 0.500

Values from the calculation:
Fermi-level density of states	5.193	states/eV/f.u.
energy of formation from the pure elements	0.11	eV per formula unit
total magnetic moment	0.00	μB/f.u.
SG	No. 69
ρ	16078	kg/m3
volume	91.3	Å³/f.u.